Record 1
Compound: SrLiSe2
Source: the Alexandria database
Functional: PBE-GGA
Structure: relaxed

Summary:
Calculated total energy (eV/atom): -3.85
V (Å³ per atom): 24.1
Formation energy from raw total energies (eV/f.u.): -4.84

abc: 3.9433 3.9017 6.4894
angles: 90.00 104.67 90.00
Atoms (fractional coordinates):
Sr 0.0000 0.0000 0.0000
Li 0.0000 0.0000 0.5000
Se 0.4382 0.5000 0.7332
Se 0.5618 0.5000 0.2668

Record 2
Compound: SbIBr
Source: the Alexandria database
Functional: PBE-GGA
Structure: relaxed

Summary:
Calculated total energy (eV/atom): -2.78
Energy above the lowest structure with this stoichiometry (kJ/mol of formula units): 5.7
V (Å³ per atom): 48.8
Formation energy from raw total energies (eV/f.u.): -0.99

abc: 6.3037 6.2673 7.7486
angles: 90.00 107.05 90.00
Atoms (fractional coordinates):
Sb 0.0022 0.0000 0.4961
Sb 0.9978 0.5000 0.5039
I 0.4286 0.5007 0.7284
I 0.5714 0.0007 0.2716
Br 0.0638 0.5007 0.1939
Br 0.9362 0.0007 0.8061

Record 3
Compound: LiAc2BeO5
Source: the Alexandria database
Functional: PBE-GGA
Structure: relaxed

Summary:
Calculated total energy (eV/atom): -6.67
V (Å³ per atom): 15.5
Formation energy from raw total energies (eV/f.u.): -21.34

abc: 7.1460 7.1460 5.4567
angles: 90.00 90.00 90.00
Atoms (fractional coordinates):
Li 0.0000 0.0000 0.0000
Li 0.5000 0.5000 0.0000
Ac 0.1840 0.3160 0.5000
Ac 0.3160 0.8160 0.5000
Ac 0.6840 0.1840 0.5000
Ac 0.8160 0.6840 0.5000
Be 0.0000 0.5000 0.0000
Be 0.5000 0.0000 0.0000
O 0.0000 0.0000 0.5000
O 0.1171 0.6171 0.2235
O 0.1171 0.6171 0.7765
O 0.3829 0.1171 0.2235
O 0.3829 0.1171 0.7765
O 0.5000 0.5000 0.5000
O 0.6171 0.8829 0.2235
O 0.6171 0.8829 0.7765
O 0.8829 0.3829 0.2235
O 0.8829 0.3829 0.7765

Record 4
Compound: Cs3LaBr6
Source: the Alexandria database
Functional: PBE-GGA
Structure: relaxed

Summary:
Calculated total energy (eV/atom): -3.67
Energy above the lowest structure with this stoichiometry (kJ/mol of formula units): 6.0
V (Å³ per atom): 47.8
Formation energy from raw total energies (eV/f.u.): -19.15

abc: 8.5885 9.1226 14.7158
angles: 90.00 124.02 90.00
Atoms (fractional coordinates):
Cs 0.0000 0.0000 0.0000
Cs 0.0000 0.5000 0.5000
Cs 0.2149 0.0708 0.7425
Cs 0.2149 0.4292 0.2425
Cs 0.7851 0.5708 0.7575
Cs 0.7851 0.9292 0.2575
La 0.5000 0.0000 0.5000
La 0.5000 0.5000 0.0000
Br 0.1717 0.1762 0.4482
Br 0.1717 0.3238 0.9482
Br 0.2606 0.7331 0.4258
Br 0.2606 0.7669 0.9258
Br 0.4003 0.0551 0.2756
Br 0.4003 0.4449 0.7756
Br 0.5997 0.5551 0.2244
Br 0.5997 0.9449 0.7244
Br 0.7394 0.2331 0.0742
Br 0.7394 0.2669 0.5742
Br 0.8283 0.6762 0.0518
Br 0.8283 0.8238 0.5518